The following is a DFT calculation (GGA-PBE) of an optimized crystal structure of LaTcRu4.

Results
magnetization	0.00	μB per formula unit
crystal system	cubic
total DFT energy (no corrections)	-8.3647	eV per atom
formation enthalpy at 0 K	2.21	eV/f.u.

a = 5.2545 Å, b = 5.2545 Å, c = 5.2545 Å
α = 60.00°, β = 60.00°, γ = 60.00°
With the nearest neighbours (Å) after each atom.
Element x y z (fractional)
La: 0.0000 0.0000 0.0000  12 Ru 3.08, 4 Tc 3.22
Tc: 0.7500 0.7500 0.7500  12 Ru 3.08, 4 La 3.22
Ru: 0.8727 0.3758 0.3758  6 Ru 2.61-2.64
Ru: 0.3758 0.3758 0.8727  6 Ru 2.61-2.64
Ru: 0.3758 0.8727 0.3758  6 Ru 2.61-2.64
Ru: 0.3758 0.3758 0.3758  6 Ru 2.61-2.64